Density functional theory data (PBE) for an optimized crystal structure of TaBiPO.

total energy	-29.72	eV/f.u.
volume	175.8	Å³/cell
symmetry	Pmc2_1 (26)

Lattice parameters (Å, degrees): 3.4264 7.2045 7.1233 90.00 90.00 90.00
Closest atoms and distances in Å follow each position.
Positions (direct):
Ta  0.0000  0.0689  0.0000  2 O 1.89-1.99
Ta  0.0000  0.9311  0.5000  2 O 1.89-1.99
Bi  0.5000  0.2975  0.5700  1 P 2.63
Bi  0.5000  0.7025  0.0700  1 P 2.63
P  0.5000  0.3057  0.9388  2 Ta 2.46, 1 Bi 2.63
P  0.5000  0.6943  0.4388  2 Ta 2.46, 1 Bi 2.63
O  0.0000  0.0815  0.2655  2 Ta 1.89-1.99
O  0.0000  0.9185  0.7655  2 Ta 1.89-1.99